Density functional theory data (PBE) for an optimized crystal structure of NpCuRu2.

The calculation puts the total magnetization at 0.9 μB per cell. Its formation energy is -0.056 eV/atom. The calculation puts the energy above the most stable polymorph in this dataset at 0 meV/atom.

It has space group P4/mmm (No. 123), with a = 4.135 Å, b = 4.135 Å, c = 3.650 Å, α = 90.00°, β = 90.00° and γ = 90.00°. The distinct sites, in fractional coordinates, are Np at (0.000, 0.000, 0.000), Cu at (0.500, 0.500, 0.000) and Ru at (0.000, 0.500, 0.500).